1.
## Ca2ErZn3 (PBE)

Data for Ca2ErZn3 after structural relaxation.

The structure belongs to space group P4/mmm (No. 123); the cell edges are 3.624, 3.624 and 10.905 Å and the angles 90.00°, 90.00° and 90.00°. The asymmetric unit holds Ca at (0.000, 0.000, 0.171), Er at (0.000, 0.000, 0.500), Zn at (0.500, 0.500, 0.000) and Zn at (0.500, 0.500, 0.349).

The calculation puts the total energy at -2.3397 eV per atom. The total magnetization comes out at 0.0 μB per formula unit.

---

2.
## Ca2ErZn6 (PBE)

Data for Ca2ErZn6 after structural relaxation.

The structure belongs to space group P6/mmm (No. 191); the cell edges are 7.7837, 7.7837 and 3.6068 Å and the angles 90.00°, 90.00° and 120.00°. The asymmetric unit holds Ca at (0.3333, 0.6667, 0.0000), Er at (0.0000, 0.0000, 0.0000) and Zn at (0.0000, 0.3314, 0.5000).

The calculation puts the total energy at -2.0999 eV per atom. The total magnetization comes out at 0.0 μB per formula unit.

---

3.
## Ca3ErZn8 (PBE)

Data for Ca3ErZn8 after structural relaxation.

The structure belongs to space group R3m (No. 160, hexagonal axes); the cell edges are 5.5248, 5.5248 and 27.0389 Å and the angles 90.00°, 90.00° and 120.00°. The asymmetric unit holds Ca at (0.0000, 0.0000, 0.0000), Ca at (0.0000, 0.0000, 0.1256), Ca at (0.0000, 0.0000, 0.6255), Er at (0.0000, 0.0000, 0.5009), Zn at (0.0000, 0.0000, 0.3130), Zn at (0.0000, 0.0000, 0.8134), Zn at (0.9998, 0.4999, 0.5616) and Zn at (0.0019, 0.5010, 0.0641).

The calculation puts the total energy at -1.9973 eV per atom. The total magnetization comes out at 0.0 μB per formula unit.